A relaxed Li2CuSb2 crystal. Source: Alexandria, functional PBEsol.

```
data_Li2CuSb2
_chemical_formula_sum 'Li4 Cu2 Sb4'
_symmetry_space_group_name_H-M 'P 4/m b m'
_symmetry_Int_Tables_number 127
_symmetry_space_group_name_Hall '-P 4 2ab'
_cell_length_a 7.774
_cell_length_b 7.774
_cell_length_c 3.051
_cell_angle_alpha 90.00
_cell_angle_beta 90.00
_cell_angle_gamma 90.00
loop_
_atom_site_label
_atom_site_type_symbol
_atom_site_fract_x
_atom_site_fract_y
_atom_site_fract_z
Li1 Li 0.112 0.388 0.000
Cu1 Cu 0.000 0.000 0.000
Sb1 Sb 0.191 0.691 0.500
```

## Properties
**Final energy**: -3.522 eV/atom
**Distance to the lowest polymorph of the same formula**: 230 meV/atom
**Formation energy (no corrections)**: -45 meV/atom